(1)
Zn3Re after structural relaxation. Source: the Alexandria database, functional PBE.

Results
Formation enthalpy at 0 K, meV per atom: 1197
Total DFT energy (no corrections), eV per atom: -2.870
Mass density, g cm⁻³: 5.091
Calculated volume, Å³ per atom: 31.19
D(E_F), states/eV/atom: 0.76

POSCAR file:
```
Zn3Re
1.0
4.997 0.000 0.000
0.000 4.997 0.000
0.000 0.000 4.997
Zn Re
3 1
Cartesian
2.498 0.000 0.000
0.000 2.498 0.000
0.000 0.000 2.498
0.000 0.000 0.000
```

(2)
Zn3Re after structural relaxation. Source: the Alexandria database, functional PBE.

Results
Formation enthalpy at 0 K, meV per atom: 200
Total DFT energy (no corrections), eV per atom: -3.868
Mass density, g cm⁻³: 10.943
Calculated volume, Å³ per atom: 14.51
D(E_F), states/eV/atom: 0.56

POSCAR file:
```
Zn3Re
1.0
-1.905 1.807 -0.354
-1.399 -0.700 3.952
2.273 4.508 1.602
Re Zn
1 3
Cartesian
0.000 0.000 0.000
-0.207 4.236 2.962
-0.825 1.380 2.238
0.184 3.158 0.624
```

(3)
Zn3Re after structural relaxation. Source: the Alexandria database, functional PBE.

Results
Formation enthalpy at 0 K, meV per atom: 179
Total DFT energy (no corrections), eV per atom: -3.888
Mass density, g cm⁻³: 10.937
Calculated volume, Å³ per atom: 14.52
D(E_F), states/eV/atom: 0.63

POSCAR file:
```
Zn3Re
1.0
-2.249 0.442 -1.431
0.994 -3.459 -2.629
-2.446 -2.936 2.938
Re Zn
1 3
Cartesian
-0.012 -0.014 0.014
-0.287 -2.671 -0.373
-2.682 -3.975 0.438
-2.351 -1.252 0.758
```

(4)
Zn2Re after structural relaxation. Source: the Alexandria database, functional PBE.

Results
Formation enthalpy at 0 K, meV per atom: 305
Total DFT energy (no corrections), eV per atom: -4.694
Mass density, g cm⁻³: 11.939
Calculated volume, Å³ per atom: 14.70
D(E_F), states/eV/atom: 0.79

POSCAR file:
```
Zn2Re
1.0
6.530 0.014 -0.015
-0.546 2.599 0.000
0.546 0.115 2.596
Zn Re
2 1
Cartesian
1.991 1.775 0.861
4.539 0.953 1.720
0.000 0.000 0.000
```

(5)
ZnRe after structural relaxation. Source: the Alexandria database, functional PBE.

Results
Formation enthalpy at 0 K, meV per atom: 2490
Total DFT energy (no corrections), eV per atom: -4.371
Mass density, g cm⁻³: 9.444
Calculated volume, Å³ per atom: 22.12
D(E_F), states/eV/atom: 1.41

POSCAR file:
```
ZnRe
1.0
-3.325 0.060 2.168
-1.271 -3.314 1.777
0.200 -0.336 3.951
Zn Re
1 1
Cartesian
-3.298 -2.693 5.922
0.000 0.000 0.000
```

(6)
ZnRe2 after structural relaxation. Source: the Alexandria database, functional PBE.

Results
Formation enthalpy at 0 K, meV per atom: 158
Total DFT energy (no corrections), eV per atom: -8.565
Mass density, g cm⁻³: 16.469
Calculated volume, Å³ per atom: 14.72
D(E_F), states/eV/atom: 0.71

POSCAR file:
```
ZnRe2
1.0
1.417 5.058 0.015
-1.417 5.058 0.015
0.000 1.663 6.166
Zn Re
2 4
Cartesian
0.000 4.126 3.878
0.000 7.653 2.318
0.000 1.337 4.366
0.000 3.723 0.227
0.000 8.056 5.969
0.000 10.442 1.830
```

Number 1: energy above the most stable polymorph in this dataset 1101 meV per atom. Number 2: energy above the most stable polymorph in this dataset 103 meV per atom. Number 3: energy above the most stable polymorph in this dataset 83 meV per atom. Number 4: energy above the most stable polymorph in this dataset 149 meV per atom. Number 5: energy above the most stable polymorph in this dataset 2473 meV per atom. Number 6: energy above the most stable polymorph in this dataset 83 meV per atom.